Entry from the Alexandria database: crystalline Pm2Y3HoSe6 at its relaxed geometry (PBE-GGA).

Summary:
The value obtained for the energy relative to the elements, uncorrected is -1781.7 meV per atom. As for the magnetic moment: 0.000 μB per atom.

abc: 17.9403 4.1008 8.2839
angles: 90.00 103.36 90.00
Space group C2/m (No. 12)
Unique sites:
Pm 0.1686 0.0000 0.3362 (multiplicity 4)
Y 0.0000 0.5000 0.5000 (multiplicity 2)
Y 0.1701 0.0000 0.8330 (multiplicity 4)
Ho 0.0000 0.5000 0.0000 (multiplicity 2)
Se 0.0029 0.0000 0.7541 (multiplicity 4)
Se 0.1634 0.5000 0.5887 (multiplicity 4)
Se 0.1642 0.5000 0.0751 (multiplicity 4)

=====

Entry from the Alexandria database: crystalline Ca2FeBr at its relaxed geometry (PBE-GGA).

Summary:
The value obtained for the energy relative to the elements, uncorrected is -14.4 meV per atom. As for the magnetic moment: 0.647 μB per atom. For the distance to the lowest polymorph of the same formula, the calculation gives 312 meV per atom.

abc: 3.9984 6.2719 9.1781
angles: 90.00 90.00 90.00
Space group Immm (No. 71)
Unique sites:
Ca 0.0000 0.0000 0.2404 (multiplicity 4)
Fe 0.0000 0.5000 0.0000 (multiplicity 2)
Br 0.0000 0.5000 0.5000 (multiplicity 2)

=====

Entry from the Alexandria database: crystalline La4Bi2SbP at its relaxed geometry (PBE-GGA).

Summary:
The value obtained for the energy relative to the elements, uncorrected is -1203.3 meV per atom. As for the magnetic moment: 0.000 μB per atom.

abc: 7.9293 4.5623 7.9565
angles: 90.00 109.25 90.00
Space group P2/m (No. 10)
Unique sites:
La 0.2336 0.0000 0.2304 (multiplicity 2)
La 0.2433 0.5000 0.7630 (multiplicity 2)
Bi 0.0000 0.0000 0.5000 (multiplicity 1)
Bi 0.5000 0.5000 0.5000 (multiplicity 1)
Sb 0.5000 0.0000 0.0000 (multiplicity 1)
P 0.0000 0.5000 0.0000 (multiplicity 1)

=====

Entry from the Alexandria database: crystalline Cs5AuI4 at its relaxed geometry (PBE-GGA).

Summary:
The value obtained for the energy relative to the elements, uncorrected is -1303.1 meV per atom. As for the magnetic moment: 0.000 μB per atom.

abc: 12.2813 12.2813 7.7800
angles: 90.00 90.00 90.00
Space group I4 (No. 79)
Unique sites:
Cs 0.0000 0.0000 0.0000 (multiplicity 2)
Cs 0.0971 0.7077 0.4987 (multiplicity 8)
Au 0.0000 0.0000 0.5000 (multiplicity 2)
I 0.0975 0.7000 0.9987 (multiplicity 8)

=====

Entry from the Alexandria database: crystalline KMgSbTe2 at its relaxed geometry (PBE-GGA).

Summary:
The value obtained for the energy relative to the elements, uncorrected is 832.0 meV per atom. As for the magnetic moment: 0.000 μB per atom. For the distance to the lowest polymorph of the same formula, the calculation gives 1013 meV per atom.

abc: 5.9629 5.9629 5.8198
angles: 90.00 90.00 90.00
Space group P4/mmm (No. 123)
Unique sites:
K 0.0000 0.0000 0.0000 (multiplicity 1)
Mg 0.5000 0.5000 0.5000 (multiplicity 1)
Sb 0.0000 0.0000 0.5000 (multiplicity 1)
Te 0.0000 0.5000 0.0000 (multiplicity 2)

=====

Entry from the Alexandria database: crystalline Na2UI6 at its relaxed geometry (PBE-GGA).

Summary:
The value obtained for the energy relative to the elements, uncorrected is -998.2 meV per atom. As for the magnetic moment: 0.222 μB per atom. For the distance to the lowest polymorph of the same formula, the calculation gives 29 meV per atom.

abc: 10.0705 12.6018 16.3045
angles: 90.00 90.00 90.00
Space group Fmmm (No. 69)
Unique sites:
Na 0.2500 0.2500 0.0000 (multiplicity 8)
U 0.0000 0.0000 0.0000 (multiplicity 4)
I 0.0000 0.1758 0.1258 (multiplicity 16)
I 0.1984 0.0000 0.5000 (multiplicity 8)

=====

Entry from the Alexandria database: crystalline AlSbTe2N at its relaxed geometry (PBE-GGA).

Summary:
The value obtained for the energy relative to the elements, uncorrected is 1323.7 meV per atom. As for the magnetic moment: 0.507 μB per atom. For the distance to the lowest polymorph of the same formula, the calculation gives 1077 meV per atom.

abc: 5.3872 5.3872 5.2804
angles: 90.00 90.00 90.00
Space group P4/mmm (No. 123)
Unique sites:
Al 0.0000 0.0000 0.0000 (multiplicity 1)
Sb 0.0000 0.0000 0.5000 (multiplicity 1)
Te 0.0000 0.5000 0.0000 (multiplicity 2)
N 0.5000 0.5000 0.5000 (multiplicity 1)